GGA-PBE La2HoCdO, relaxed; V = 24.889 A^3/atom; crystal system = tetragonal; energy = -5.355 eV/atom
1.0
-0.511 4.436 -1.501
-4.490 0.322 2.480
2.438 1.700 4.193
La Cd O Ho
2 1 1 1
Cartesian
-2.245 0.161 1.240
1.219 0.850 2.097
-1.281 3.229 2.586
0.000 0.000 0.000
-0.255 2.218 -0.751

GGA-PBE Pm7Dy2Y3, relaxed; V = 33.694 A^3/atom; crystal system = monoclinic; E above lowest polymorph = 0 meV per atom; ΔE_f = 8.1 kJ per mole of atoms
1.0
3.632 0.000 0.000
0.000 5.869 -0.269
0.000 -3.790 19.144
Pm Y Dy
7 3 2
Cartesian
1.816 -0.401 10.174
0.000 0.000 0.000
1.816 2.750 15.394
0.000 2.197 2.660
1.816 -0.671 3.481
0.000 -0.118 16.215
1.816 2.480 8.702
0.000 2.595 11.884
0.000 -0.516 6.991
1.816 2.934 -0.134
1.816 -0.259 13.346
1.816 2.337 5.530

GGA-PBE LaDy5Cd6, relaxed; V = 26.935 A^3/atom; crystal system = orthorhombic; ΔE_f = -30.1 kJ per mole of atoms
1.0
5.044 -0.030 1.681
0.041 7.599 0.014
-0.007 -0.015 8.430
Dy Cd La
5 6 1
Cartesian
3.360 3.769 6.800
0.020 3.799 0.007
1.717 3.784 3.325
1.670 -0.015 3.395
3.366 -0.030 6.716
4.187 1.935 4.286
0.890 5.619 5.839
4.207 5.604 4.293
2.533 1.946 0.844
2.552 5.623 0.851
0.870 1.950 5.832
0.000 0.000 0.000

GGA-PBE Hf4GeS2, relaxed; V = 22.402 A^3/atom; crystal system = tetragonal; energy = -7.601 eV/atom
1.0
4.935 0.000 0.000
0.000 4.935 0.000
2.467 2.467 6.439
Hf S Ge
4 2 1
Cartesian
4.935 4.935 2.713
0.000 2.467 0.000
2.467 0.000 0.000
2.467 2.467 3.726
2.467 2.467 1.338
4.935 4.935 5.101
0.000 0.000 0.000

GGA-PBE TbPmHo2Er, relaxed; V = 34.313 A^3/atom; crystal system = orthorhombic; ΔE_f = 38.1 kJ per mole of atoms
1.0
7.177 0.000 0.000
0.000 8.369 0.000
0.000 -4.185 5.712
Ho Pm Er Tb
4 2 2 2
Cartesian
0.000 2.601 0.000
3.589 5.768 0.000
3.589 2.601 0.000
0.000 5.768 0.000
1.794 4.185 2.589
5.383 0.000 3.123
1.794 0.000 3.165
5.383 4.185 2.547
5.383 0.000 0.030
1.794 4.185 5.683

GGA-PBE Tb2NdAg6, relaxed; V = 22.991 A^3/atom; crystal system = hexagonal; ΔE_f = -24.4 kJ per mole of atoms
1.0
-1.556 1.560 2.693
-6.399 -5.222 -0.672
6.438 -1.937 4.844
Ag Tb Nd
6 2 1
Cartesian
-0.765 -1.619 2.744
3.502 -0.508 4.567
-2.922 -0.970 1.121
-5.019 -5.091 2.297
-0.752 -3.980 4.120
1.406 -4.629 5.743
2.159 -3.032 3.005
-3.676 -2.567 3.859
6.438 -1.937 4.844

GGA-PBE LiTl8, relaxed; V = 29.038 A^3/atom; crystal system = tetragonal; E above lowest polymorph = 12 meV per atom; ΔE_f = -0.7 kJ per mole of atoms
1.0
4.953 0.000 0.000
2.476 7.264 0.000
2.476 0.000 7.264
Tl Li
8 1
Cartesian
4.953 4.904 0.000
2.476 4.864 2.400
2.476 2.360 0.000
4.953 0.000 4.904
2.476 0.000 2.360
2.476 2.400 4.864
4.953 2.400 2.400
4.953 4.864 4.864
0.000 0.000 0.000

GGA-PBE InGa2F, relaxed; V = 18.894 A^3/atom; crystal system = cubic; E above lowest polymorph = 70 meV per atom
1.0
-0.609 -4.510 1.344
-2.019 -0.977 4.182
-4.363 -1.862 0.152
F Ga In
1 2 1
Cartesian
0.000 0.000 0.000
-5.243 -5.512 4.259
-1.748 -1.837 1.420
-3.495 -3.675 2.839